# 1
A plane-wave DFT calculation with PBE was carried out for an optimized crystal structure of YThIn.

Unit cell a=5.5049 b=5.5049 c=6.6474 alpha=90.00 beta=90.00 gamma=120.00
Fractional coordinates of all 6 atoms:
Y: 0.6668 0.8332 0.2500
Y: 0.3332 0.1668 0.7500
Th: 0.0000 0.5000 0.0000
Th: 0.0000 0.5000 0.5000
In: 0.6666 0.8334 0.7500
In: 0.3334 0.1666 0.2500

Space group: No. 194
ΔH_f (0 K), meV per atom: -286.5


# 2
A plane-wave DFT calculation with PBE was carried out for an optimized crystal structure of Y4ThIn.

Unit cell a=6.3105 b=8.9429 c=8.3824 alpha=113.81 beta=101.10 gamma=110.17
Fractional coordinates of all 12 atoms:
Y: 0.3618 0.9201 0.6278
Y: 0.6382 0.0799 0.3722
Y: 0.7489 0.3922 0.2043
Y: 0.2340 0.2923 0.3722
Y: 0.2511 0.6078 0.7957
Y: 0.9554 0.8121 0.2043
Y: 0.0446 0.1879 0.7957
Y: 0.7660 0.7077 0.6278
Th: 0.6404 0.3904 0.7808
Th: 0.3596 0.6096 0.2192
In: 0.2504 0.0004 0.0008
In: 0.7496 0.9996 0.9992

Space group: No. 15
ΔH_f (0 K), meV per atom: -54.0


# 3
A plane-wave DFT calculation with PBE was carried out for an optimized crystal structure of YTh4In4.

Unit cell a=6.6513 b=9.1574 c=9.1574 alpha=90.00 beta=90.00 gamma=90.00
Fractional coordinates of all 18 atoms:
Th: 0.1159 0.7345 0.4018
Th: 0.6159 0.0982 0.2345
Th: 0.1159 0.2655 0.5982
Th: 0.8841 0.4018 0.2655
Th: 0.6159 0.9018 0.7655
Th: 0.8841 0.5982 0.7345
Th: 0.3841 0.2345 0.9018
Th: 0.3841 0.7655 0.0982
In: 0.8601 0.2998 0.9172
In: 0.1399 0.0828 0.2998
In: 0.8601 0.7002 0.0828
In: 0.1399 0.9172 0.7002
In: 0.6399 0.2002 0.5828
In: 0.3601 0.5828 0.7998
In: 0.6399 0.7998 0.4172
In: 0.3601 0.4172 0.2002
Y: 0.0000 0.0000 0.0000
Y: 0.5000 0.5000 0.5000

Space group: No. 86
ΔH_f (0 K), meV per atom: 33.3


# 4
A plane-wave DFT calculation with PBE was carried out for an optimized crystal structure of YThIn2.

Unit cell a=3.5484 b=3.5484 c=8.7943 alpha=90.00 beta=90.00 gamma=90.00
Fractional coordinates of all 4 atoms:
Y: 0.5000 0.5000 0.0000
In: 0.0000 0.0000 0.2409
In: 0.0000 0.0000 0.7591
Th: 0.5000 0.5000 0.5000

Space group: No. 123
ΔH_f (0 K), meV per atom: -389.2


# 5
A plane-wave DFT calculation with PBE was carried out for an optimized crystal structure of Y2ThIn3.

Unit cell a=3.5430 b=3.5430 c=13.0582 alpha=90.00 beta=90.00 gamma=90.00
Fractional coordinates of all 6 atoms:
In: 0.0000 0.0000 0.3251
In: 0.0000 0.0000 0.6749
In: 0.0000 0.0000 0.0000
Y: 0.5000 0.5000 0.1622
Y: 0.5000 0.5000 0.8378
Th: 0.5000 0.5000 0.5000

Space group: No. 123
ΔH_f (0 K), meV per atom: -425.3


# 6
A plane-wave DFT calculation with PBE was carried out for an optimized crystal structure of YThIn.

Unit cell a=3.5979 b=3.5979 c=7.4032 alpha=104.06 beta=104.06 gamma=90.00
Fractional coordinates of all 3 atoms:
Y: 0.6041 0.6041 0.2082
Th: 0.2917 0.2917 0.5833
In: 0.9542 0.9542 0.9084

Space group: No. 107
ΔH_f (0 K), meV per atom: -207.4


# 7
A plane-wave DFT calculation with PBE was carried out for an optimized crystal structure of Y2ThIn.

Unit cell a=4.8083 b=4.9390 c=4.9390 alpha=90.00 beta=90.00 gamma=90.00
Fractional coordinates of all 4 atoms:
Y: 0.0000 0.5000 0.0000
Y: 0.0000 0.0000 0.5000
Th: 0.5000 0.5000 0.5000
In: 0.5000 0.0000 0.0000

Space group: No. 123
ΔH_f (0 K), meV per atom: -208.8


# 8
A plane-wave DFT calculation with PBE was carried out for an optimized crystal structure of YThIn2.

Unit cell a=4.5041 b=4.9857 c=4.9857 alpha=90.00 beta=90.00 gamma=90.00
Fractional coordinates of all 4 atoms:
Y: 0.5000 0.0000 0.0000
Th: 0.5000 0.5000 0.5000
In: 0.0000 0.0000 0.5000
In: 0.0000 0.5000 0.0000

Space group: No. 123
ΔH_f (0 K), meV per atom: -354.9


# 9
A plane-wave DFT calculation with PBE was carried out for an optimized crystal structure of Y2ThIn.

Unit cell a=3.5955 b=3.5955 c=9.0511 alpha=90.00 beta=90.00 gamma=90.00
Fractional coordinates of all 4 atoms:
Y: 0.0000 0.0000 0.2309
Y: 0.0000 0.0000 0.7691
In: 0.5000 0.5000 0.0000
Th: 0.5000 0.5000 0.5000

Space group: No. 123
ΔH_f (0 K), meV per atom: -258.8


# 10
A plane-wave DFT calculation with PBE was carried out for an optimized crystal structure of YThIn6.

Unit cell a=4.6948 b=4.6948 c=9.3842 alpha=90.00 beta=90.00 gamma=90.00
Fractional coordinates of all 8 atoms:
In: 0.5000 0.0000 0.2556
In: 0.0000 0.5000 0.2556
In: 0.5000 0.5000 0.5000
In: 0.0000 0.5000 0.7444
In: 0.5000 0.0000 0.7444
In: 0.5000 0.5000 0.0000
Th: 0.0000 0.0000 0.0000
Y: 0.0000 0.0000 0.5000

Space group: No. 123
ΔH_f (0 K), meV per atom: -389.6


# 11
A plane-wave DFT calculation with PBE was carried out for an optimized crystal structure of Y2Th2In3.

Unit cell a=3.7612 b=3.7612 c=14.4751 alpha=82.55 beta=82.54 gamma=90.07
Fractional coordinates of all 7 atoms:
Y: 0.5666 0.5665 0.8662
Y: 0.4334 0.4335 0.1338
Th: 0.2938 0.2938 0.4127
Th: 0.7062 0.7062 0.5873
In: 0.1324 0.1322 0.7350
In: 0.0000 0.0000 0.0000
In: 0.8676 0.8678 0.2650

Space group: No. 139
ΔH_f (0 K), meV per atom: -311.2


# 12
A plane-wave DFT calculation with PBE was carried out for an optimized crystal structure of YTh4In5.

Unit cell a=3.5236 b=3.5236 c=22.7484 alpha=90.00 beta=90.00 gamma=90.00
Fractional coordinates of all 10 atoms:
Th: 0.0000 0.0000 0.1949
Th: 0.0000 0.0000 0.6020
Th: 0.0000 0.0000 0.8051
Th: 0.0000 0.0000 0.3980
In: 0.5000 0.5000 0.7035
In: 0.5000 0.5000 0.2965
In: 0.5000 0.5000 0.9060
In: 0.5000 0.5000 0.0940
In: 0.5000 0.5000 0.5000
Y: 0.0000 0.0000 0.0000

Space group: No. 123
ΔH_f (0 K), meV per atom: -325.9


# 13
A plane-wave DFT calculation with PBE was carried out for an optimized crystal structure of YThIn2.

Unit cell a=3.5832 b=3.5832 c=10.6649 alpha=80.33 beta=80.33 gamma=60.00
Fractional coordinates of all 4 atoms:
In: 0.2534 0.2534 0.2398
In: 0.7466 0.7466 0.7602
Th: 0.5000 0.5000 0.5000
Y: 0.0000 0.0000 0.0000

Space group: No. 166
ΔH_f (0 K), meV per atom: -233.4


# 14
A plane-wave DFT calculation with PBE was carried out for an optimized crystal structure of Th2ZnIn5.

Unit cell a=4.6655 b=6.6497 c=13.2762 alpha=90.00 beta=90.00 gamma=90.00
Fractional coordinates of all 16 atoms:
Th: 0.5000 0.7435 0.8766
Th: 0.5000 0.2435 0.6234
Th: 0.5000 0.7565 0.3766
Th: 0.5000 0.2565 0.1234
In: 0.0000 0.5096 0.2463
In: 0.0000 0.9904 0.7463
In: 0.5000 0.7511 0.1232
In: 0.5000 0.2489 0.8768
In: 0.0000 0.4904 0.7537
In: 0.0000 0.0000 0.0000
In: 0.0000 0.5000 0.5000
In: 0.5000 0.2511 0.3768
In: 0.0000 0.0096 0.2537
In: 0.5000 0.7489 0.6232
Zn: 0.0000 0.0000 0.5000
Zn: 0.0000 0.5000 0.0000

Space group: No. 55
ΔH_f (0 K), meV per atom: -313.3


# 15
A plane-wave DFT calculation with PBE was carried out for an optimized crystal structure of Th3Zn9In2.

Unit cell a=4.4030 b=9.7279 c=8.5367 alpha=124.73 beta=104.94 gamma=90.00
Fractional coordinates of all 14 atoms:
Zn: 0.3382 0.7099 0.6764
Zn: 0.0000 0.5000 0.0000
Zn: 0.6618 0.0335 0.3236
Zn: 0.1520 0.8818 0.3039
Zn: 0.6618 0.2901 0.3236
Zn: 0.8480 0.1182 0.6961
Zn: 0.8480 0.5779 0.6961
Zn: 0.1520 0.4221 0.3039
Zn: 0.3382 0.9665 0.6764
In: 0.5000 0.7069 0.0000
In: 0.5000 0.2931 0.0000
Th: 0.0000 0.0000 0.0000
Th: 0.6984 0.6984 0.3968
Th: 0.3016 0.3016 0.6032

Space group: No. 71
ΔH_f (0 K), meV per atom: -255.0


# 16
A plane-wave DFT calculation with PBE was carried out for an optimized crystal structure of Th2Zn5In.

Unit cell a=4.4705 b=8.5931 c=9.0833 alpha=90.00 beta=90.00 gamma=105.08
Fractional coordinates of all 16 atoms:
Th: 0.2053 0.4106 0.2500
Th: 0.0000 0.0000 0.5000
Th: 0.0000 0.0000 0.0000
Th: 0.7947 0.5894 0.7500
Zn: 0.1852 0.3704 0.6072
Zn: 0.3967 0.7934 0.2500
Zn: 0.6550 0.3099 0.0160
Zn: 0.3450 0.6901 0.5160
Zn: 0.6033 0.2066 0.7500
Zn: 0.1852 0.3704 0.8928
Zn: 0.3450 0.6901 0.9840
Zn: 0.8148 0.6296 0.1072
Zn: 0.6550 0.3099 0.4840
Zn: 0.8148 0.6296 0.3928
In: 0.4448 0.8896 0.7500
In: 0.5552 0.1104 0.2500

Space group: No. 63
ΔH_f (0 K), meV per atom: -295.7


# 17
A plane-wave DFT calculation with PBE was carried out for an optimized crystal structure of ThZn2In.

Unit cell a=4.5288 b=4.5288 c=5.6888 alpha=66.54 beta=66.54 gamma=60.00
Fractional coordinates of all 4 atoms:
Zn: 0.2252 0.2252 0.3245
Zn: 0.7748 0.7748 0.6755
Th: 0.0000 0.0000 0.0000
In: 0.5000 0.5000 0.5000

Space group: No. 166
ΔH_f (0 K), meV per atom: -201.8


# 18
A plane-wave DFT calculation with PBE was carried out for an optimized crystal structure of Th3ZnIn3.

Unit cell a=4.5904 b=6.2643 c=14.7304 alpha=83.43 beta=81.04 gamma=68.51
Fractional coordinates of all 14 atoms:
In: 0.8522 0.7543 0.5414
In: 0.9775 0.8125 0.2326
In: 0.1155 0.8441 0.9249
In: 0.8845 0.1559 0.0751
In: 0.0225 0.1875 0.7674
In: 0.1478 0.2457 0.4586
Th: 0.7408 0.7486 0.7697
Th: 0.4806 0.6578 0.3810
Th: 0.2592 0.2514 0.2303
Th: 0.5194 0.3422 0.6190
Th: 0.3944 0.2914 0.9198
Th: 0.6056 0.7086 0.0802
Zn: 0.2322 0.9179 0.6177
Zn: 0.7678 0.0821 0.3823

Space group: No. 12
ΔH_f (0 K), meV per atom: -268.4


# 19
A plane-wave DFT calculation with PBE was carried out for an optimized crystal structure of Th3Zn2In.

Unit cell a=3.4739 b=3.4739 c=12.8783 alpha=90.00 beta=90.00 gamma=90.00
Fractional coordinates of all 6 atoms:
Th: 0.0000 0.0000 0.6855
Th: 0.0000 0.0000 0.3145
Th: 0.0000 0.0000 0.0000
Zn: 0.5000 0.5000 0.1587
Zn: 0.5000 0.5000 0.8413
In: 0.5000 0.5000 0.5000

Space group: No. 123
ΔH_f (0 K), meV per atom: -185.9


# 20
A plane-wave DFT calculation with PBE was carried out for an optimized crystal structure of Th3ZnIn2.

Unit cell a=3.4807 b=3.4807 c=13.4912 alpha=90.00 beta=90.00 gamma=90.00
Fractional coordinates of all 6 atoms:
Th: 0.0000 0.0000 0.3488
Th: 0.0000 0.0000 0.0000
Th: 0.0000 0.0000 0.6512
In: 0.5000 0.5000 0.8265
In: 0.5000 0.5000 0.1735
Zn: 0.5000 0.5000 0.5000

Space group: No. 123
ΔH_f (0 K), meV per atom: -234.2